The following is a PBE+U calculation of a relaxed structure of VH12C2S2O12F6, from Alexandria.

Its final energy is -0.39843 Ry per atom.

It has space group C2/m (No. 12), with a = 18.918 Å, b = 7.081 Å, c = 6.582 Å, α = 90.00°, β = 102.57° and γ = 90.00°. The distinct sites, in fractional coordinates, are V at (0.000, 0.000, 0.000), H at (0.071, 0.113, 0.682), H at (0.083, 0.261, 0.296), H at (0.092, 0.315, 0.068), C at (0.225, 0.500, 0.703), S at (0.125, 0.500, 0.686), O at (0.051, 0.000, 0.737), O at (0.073, 0.219, 0.150), O at (0.100, 0.326, 0.572), O at (0.118, 0.500, 0.903), F at (0.239, 0.500, 0.509) and F at (0.245, 0.155, 0.194).